No. 1
Here is a PBEsol-optimized structure of BaLiTc2 from the Alexandria database. Energies are from SCAN.

Cell: 5.841 5.841 2.817 Å, 90.00 90.00 128.19°
Atoms (fractional coordinates):
Ba1 0.000 0.000 0.000
Li1 0.500 0.500 0.000
Tc1 0.000 0.500 0.500
Tc2 0.500 0.000 0.500

**Symmetry**: Cmmm
**Energy above the lowest structure with this stoichiometry**: 1.03 eV per formula unit
**Crystal system**: orthorhombic
**V**: 18.9 Å³ per atom
**Spin magnetization**: 0.0 μB/f.u.
**ΔE_f**: 1.082 eV per atom
**Uncorrected energy**: -26.933 eV per atom
**Theoretical density**: 7.5 g/cm³



No. 2
Here is a PBEsol-optimized structure of CrAu3 from the Alexandria database. Energies are from SCAN.

Cell: 3.134 3.638 5.758 Å, 90.00 90.00 90.00°
Atoms (fractional coordinates):
Cr1 0.000 0.000 0.000
Au1 0.000 0.000 0.500
Au2 0.500 0.500 0.242
Au3 0.500 0.500 0.758

**Symmetry**: Pmmm
**Crystal system**: orthorhombic
**V**: 16.4 Å³ per atom
**Spin magnetization**: 4.0 μB/f.u.
**ΔE_f**: -0.123 eV per atom
**Uncorrected energy**: -56.587 eV per atom
**Theoretical density**: 16.3 g/cm³



No. 3
Here is a PBEsol-optimized structure of Li4Cr3Fe2Sb3O16 from the Alexandria database. Energies are from SCAN.

Cell: 6.005 6.005 9.620 Å, 90.04 90.04 60.60°
Atoms (fractional coordinates):
Li1 0.000 0.000 0.000
Li2 0.004 0.004 0.513
Li3 0.350 0.350 0.407
Li4 0.685 0.685 0.884
Cr1 0.187 0.680 0.722
Cr2 0.680 0.187 0.722
Cr3 0.850 0.850 0.223
Fe1 0.366 0.366 0.991
Fe2 0.694 0.694 0.518
Sb1 0.187 0.187 0.723
Sb2 0.357 0.851 0.224
Sb3 0.851 0.357 0.224
O1 0.013 0.013 0.328
O2 0.015 0.015 0.819
O3 0.053 0.501 0.843
O4 0.175 0.699 0.111
O5 0.177 0.177 0.104
O6 0.333 0.860 0.608
O7 0.354 0.354 0.613
O8 0.498 0.498 0.837
O9 0.501 0.053 0.843
O10 0.533 0.533 0.347
O11 0.542 0.983 0.341
O12 0.690 0.690 0.108
O13 0.699 0.175 0.111
O14 0.854 0.854 0.619
O15 0.860 0.333 0.608
O16 0.983 0.542 0.341

**Symmetry**: Cm
**Crystal system**: monoclinic
**V**: 10.8 Å³ per atom
**Spin magnetization**: 0.2 μB/f.u.
**Uncorrected energy**: -13.111 eV per atom
**Theoretical density**: 5.0 g/cm³
**Energy relative to the elements, uncorrected**: -1.9517 eV/atom



No. 4
Here is a PBEsol-optimized structure of ScHRh2 from the Alexandria database. Energies are from SCAN.

Cell: 4.173 4.173 4.173 Å, 60.00 60.00 60.00°
Atoms (fractional coordinates):
Sc1 0.000 0.000 0.000
H1 0.500 0.500 0.500
Rh1 0.250 0.250 0.250
Rh2 0.750 0.750 0.750

**Symmetry**: Fm-3m
**Crystal system**: cubic
**V**: 12.8 Å³ per atom
**Spin magnetization**: 0.0 μB/f.u.
**Uncorrected energy**: -21.306 eV per atom
**Theoretical density**: 8.1 g/cm³



No. 5
Here is a PBEsol-optimized structure of Cd2FeCoAg from the Alexandria database. Energies are from SCAN.

Cell: 4.875 4.875 4.146 Å, 90.00 90.00 90.00°
Atoms (fractional coordinates):
Cd1 0.000 0.500 0.000
Cd2 0.500 0.000 0.000
Fe1 0.000 0.000 0.000
Co1 0.000 0.000 0.500
Ag1 0.500 0.500 0.500

**Symmetry**: P4/mmm
**Crystal system**: tetragonal
**V**: 19.7 Å³ per atom
**Spin magnetization**: 4.5 μB/f.u.
**ΔE_f**: 0.822 eV per atom
**Uncorrected energy**: -24.704 eV per atom
**Theoretical density**: 7.5 g/cm³



No. 6
Here is a PBEsol-optimized structure of SrBeGa2H from the Alexandria database. Energies are from SCAN.

Cell: 4.620 4.620 3.999 Å, 90.00 90.00 90.00°
Atoms (fractional coordinates):
Sr1 0.000 0.000 0.000
Be1 0.500 0.500 0.000
Ga1 0.000 0.500 0.500
Ga2 0.500 0.000 0.500
H1 0.500 0.500 0.500

**Symmetry**: P4/mmm
**Crystal system**: tetragonal
**V**: 17.1 Å³ per atom
**Spin magnetization**: 0.0 μB/f.u.
**Uncorrected energy**: -12.188 eV per atom
**Theoretical density**: 4.6 g/cm³



No. 7
Here is a PBEsol-optimized structure of YMg3Re from the Alexandria database. Energies are from SCAN.

Cell: 5.441 5.441 5.441 Å, 90.00 90.00 90.00°
Atoms (fractional coordinates):
Y1 0.000 0.000 0.000
Mg1 0.000 0.000 0.500
Mg2 0.000 0.500 0.000
Mg3 0.500 0.000 0.000
Re1 0.500 0.500 0.500

**Symmetry**: Pm-3m
**Crystal system**: cubic
**V**: 32.2 Å³ per atom
**Spin magnetization**: 2.8 μB/f.u.
**ΔE_f**: 2.344 eV per atom
**Uncorrected energy**: -20.429 eV per atom
**Theoretical density**: 3.6 g/cm³



No. 8
Here is a PBEsol-optimized structure of Li2CdPb from the Alexandria database. Energies are from SCAN.

Cell: 3.414 3.414 6.672 Å, 90.00 90.00 90.00°
Atoms (fractional coordinates):
Li1 0.000 0.000 0.238
Li2 0.000 0.000 0.762
Cd1 0.500 0.500 0.000
Pb1 0.500 0.500 0.500

**Symmetry**: P4/mmm
**Energy above the lowest structure with this stoichiometry**: 0.11 eV per formula unit
**Crystal system**: tetragonal
**V**: 19.4 Å³ per atom
**Spin magnetization**: 0.0 μB/f.u.
**ΔE_f**: -0.345 eV per atom
**Uncorrected energy**: -28.089 eV per atom
**Theoretical density**: 7.1 g/cm³



No. 9
Here is a PBEsol-optimized structure of Sr2LiZnBr from the Alexandria database. Energies are from SCAN.

Cell: 5.875 5.875 5.605 Å, 90.00 90.00 90.00°
Atoms (fractional coordinates):
Sr1 0.000 0.500 0.000
Sr2 0.500 0.000 0.000
Li1 0.000 0.000 0.500
Zn1 0.500 0.500 0.500
Br1 0.500 0.500 0.000

**Symmetry**: P4/mmm
**Crystal system**: tetragonal
**V**: 38.7 Å³ per atom
**Spin magnetization**: 0.0 μB/f.u.
**Uncorrected energy**: -16.218 eV per atom
**Theoretical density**: 2.8 g/cm³
**Energy relative to the elements, uncorrected**: -0.2345 eV/atom



No. 10
Here is a PBEsol-optimized structure of BaP2N2 from the Alexandria database. Energies are from SCAN.

Cell: 6.984 6.984 3.225 Å, 90.00 90.00 90.00°
Atoms (fractional coordinates):
Ba1 0.000 0.000 0.000
Ba2 0.500 0.500 0.000
P1 0.101 0.399 0.500
P2 0.399 0.899 0.500
P3 0.601 0.101 0.500
P4 0.899 0.601 0.500
N1 0.122 0.622 0.000
N2 0.378 0.122 0.000
N3 0.622 0.878 0.000
N4 0.878 0.378 0.000

**Symmetry**: P4/mbm
**Crystal system**: tetragonal
**V**: 15.7 Å³ per atom
**Spin magnetization**: 0.5 μB/f.u.
**Uncorrected energy**: -14.980 eV per atom
**Theoretical density**: 4.8 g/cm³
**Energy relative to the elements, uncorrected**: 0.8060 eV/atom



No. 11
Here is a PBEsol-optimized structure of CrPdSeN2 from the Alexandria database. Energies are from SCAN.

Cell: 3.589 3.589 5.206 Å, 90.00 90.00 90.00°
Atoms (fractional coordinates):
Cr1 0.000 0.000 0.000
Pd1 0.500 0.500 0.500
Se1 0.000 0.000 0.500
N1 0.000 0.500 0.000
N2 0.500 0.000 0.000

**Symmetry**: P4/mmm
**Crystal system**: tetragonal
**V**: 13.4 Å³ per atom
**Spin magnetization**: 0.5 μB/f.u.
**Uncorrected energy**: -17.583 eV per atom
**Theoretical density**: 6.6 g/cm³
**Energy relative to the elements, uncorrected**: 0.3805 eV/atom



No. 12
Here is a PBEsol-optimized structure of FeSe3N from the Alexandria database. Energies are from SCAN.

Cell: 4.679 4.679 4.679 Å, 90.00 90.00 90.00°
Atoms (fractional coordinates):
Fe1 0.000 0.000 0.000
Se1 0.000 0.000 0.500
Se2 0.000 0.500 0.000
Se3 0.500 0.000 0.000
N1 0.500 0.500 0.500

**Symmetry**: Pm-3m
**Crystal system**: cubic
**V**: 20.5 Å³ per atom
**Spin magnetization**: 6.8 μB/f.u.
**Uncorrected energy**: -16.322 eV per atom
**Theoretical density**: 5.0 g/cm³
**Energy relative to the elements, uncorrected**: 1.2091 eV/atom